{"formula": "Sr2ZnHPt", "functional": "PBE-GGA", "state": "optimized geometry", "lattice": [[5.110, 0.000, 0.000], [0.000, 5.110, 0.000], [0.000, 0.000, 4.030]], "species": ["H", "Zn", "Sr", "Sr", "Pt"], "fractional_positions": [[0.000, 0.000, 0.000], [0.000, 0.000, 0.500], [0.000, 0.500, 0.000], [0.500, 0.000, 0.000], [0.500, 0.500, 0.500]], "final_energy_ev_per_fu": -16.1, "de_polymorph_ev_per_atom": 0.0499}